# Tc2TeBr | Alexandria | PBE | optimized geometry
data_Tc2TeBr
_chemical_formula_sum 'Tc2 Te1 Br1'
_cell_length_a 3.583
_cell_length_b 3.741
_cell_length_c 6.736
_cell_angle_alpha 90.00
_cell_angle_beta 90.00
_cell_angle_gamma 90.00
_symmetry_space_group_name_H-M 'P m m m'
_symmetry_Int_Tables_number 47
_symmetry_space_group_name_Hall '-P 2 2'
loop_
_atom_site_label
_atom_site_type_symbol
_atom_site_fract_x
_atom_site_fract_y
_atom_site_fract_z
Tc1 Tc 0.000 0.000 0.166
Te1 Te 0.500 0.500 0.000
Br1 Br 0.500 0.000 0.500
# **E_form (uncorrected)**: 0.55 eV per atom
# **ρ**: 7.42 g/cm3
# **M_tot**: 0.0 Bohr magnetons per cell
# **DOS(E_F)**: 2.03 states/eV per cell



# Tc2TeBr | Alexandria | PBE | optimized geometry
data_Tc2TeBr
_chemical_formula_sum 'Tc8 Te4 Br4'
_cell_length_a 5.743
_cell_length_b 5.743
_cell_length_c 11.666
_cell_angle_alpha 90.00
_cell_angle_beta 90.00
_cell_angle_gamma 90.00
_symmetry_space_group_name_H-M 'I -4 2 d'
_symmetry_Int_Tables_number 122
_symmetry_space_group_name_Hall 'I -4 2bw'
loop_
_atom_site_label
_atom_site_type_symbol
_atom_site_fract_x
_atom_site_fract_y
_atom_site_fract_z
Tc1 Tc 0.225 0.250 0.125
Te1 Te 0.000 0.000 0.500
Br1 Br 0.000 0.000 0.000
# **E_form (uncorrected)**: 0.86 eV per atom
# **ρ**: 6.96 g/cm3
# **M_tot**: 0.0 Bohr magnetons per cell
# **DOS(E_F)**: 6.54 states/eV per cell